1.
## RbTmBeTe3 (PBE)

Data for RbTmBeTe3 after structural relaxation.

Unit cell a=4.2583 b=10.1823 c=10.3897 alpha=111.52 beta=90.00 gamma=90.00
Positions (direct):
Rb1 0.2500 0.2102 0.2393
Rb2 0.7500 0.7898 0.7607
Tm1 0.2500 0.6696 0.1407
Tm2 0.7500 0.3304 0.8593
Be1 0.2500 0.0793 0.6039
Be2 0.7500 0.9207 0.3961
Te1 0.7500 0.8864 0.1506
Te2 0.2500 0.1136 0.8494
Te3 0.2500 0.8187 0.4652
Te4 0.7500 0.1813 0.5348
Te5 0.7500 0.4711 0.1711
Te6 0.2500 0.5289 0.8289

Values from the calculation:
E_form (uncorrected) in meV per atom: -996
VASP energy in eV per atom: -4.094
Total magnetization in μB per formula unit: 0.00
SG: P2_1/m, No. 11

---

2.
## FeSe2BrN (PBE)

Data for FeSe2BrN after structural relaxation.

Unit cell a=5.0603 b=5.0603 c=3.4158 alpha=90.00 beta=90.00 gamma=90.00
Positions (direct):
N1 0.0000 0.0000 0.5000
Se1 0.0000 0.5000 0.0000
Se2 0.5000 0.0000 0.0000
Br1 0.5000 0.5000 0.5000
Fe1 0.0000 0.0000 0.0000

Values from the calculation:
E_form (uncorrected) in meV per atom: 491
Distance to the lowest polymorph of the same formula in meV/atom: 0.0
VASP energy in eV per atom: -4.595
N(E_F) in states/eV per atom: 0.724
Total magnetization in μB per formula unit: 0.00
SG: P4/mmm, No. 123

---

3.
## La5GaPb2 (PBE)

Data for La5GaPb2 after structural relaxation.

Unit cell a=5.0167 b=8.2886 c=12.9573 alpha=90.00 beta=90.00 gamma=90.00
Positions (direct):
La1 0.0000 0.0000 0.5000
La2 0.0000 0.5000 0.0000
La3 0.0000 0.8382 0.2170
La4 0.0000 0.1618 0.7830
La5 0.0000 0.6618 0.7170
La6 0.0000 0.3382 0.2830
La7 0.5000 0.6843 0.4375
La8 0.5000 0.3157 0.5625
La9 0.5000 0.8157 0.9375
La10 0.5000 0.1843 0.0625
Ga1 0.0000 0.5000 0.5000
Ga2 0.0000 0.0000 0.0000
Pb1 0.5000 0.5685 0.1720
Pb2 0.5000 0.4315 0.8280
Pb3 0.5000 0.9315 0.6720
Pb4 0.5000 0.0685 0.3280

Values from the calculation:
VASP energy in eV per atom: -4.906
N(E_F) in states/eV per atom: 1.218
Total magnetization in μB per formula unit: 0.00
Energy of formation from the pure elements in eV per formula unit: -4.2
SG: Pbam, No. 55

---

4.
## TePd2Pt (PBE)

Data for TePd2Pt after structural relaxation.

Unit cell a=7.4063 b=7.4063 c=5.8912 alpha=51.05 beta=51.05 gamma=90.00
Positions (direct):
Te1 0.5000 0.5000 0.0000
Te2 0.2500 0.7500 0.5000
Pd1 0.6151 0.1250 0.2500
Pd2 0.1349 0.6250 0.2500
Pd3 0.3750 0.3849 0.7500
Pd4 0.8750 0.8651 0.7500
Pt1 0.0000 0.0000 0.0000
Pt2 0.7500 0.2500 0.5000

Values from the calculation:
E_form (uncorrected) in meV per atom: -58
Distance to the lowest polymorph of the same formula in meV/atom: 55.2
VASP energy in eV per atom: -4.950
N(E_F) in states/eV per atom: 0.568
Total magnetization in μB per formula unit: 0.00
SG: I-42d, No. 122

---

5.
## RbNa2InPt (PBE)

Data for RbNa2InPt after structural relaxation.

Unit cell a=5.7087 b=5.7087 c=5.2023 alpha=90.00 beta=90.00 gamma=90.00
Positions (direct):
Na1 0.0000 0.5000 0.0000
Na2 0.5000 0.0000 0.0000
Rb1 0.5000 0.5000 0.5000
Pt1 0.0000 0.0000 0.0000
In1 0.0000 0.0000 0.5000

Values from the calculation:
VASP energy in eV per atom: -2.662
N(E_F) in states/eV per atom: 0.426
Total magnetization in μB per formula unit: 0.00
Energy of formation from the pure elements in eV per formula unit: -0.9
SG: P4/mmm, No. 123

---

6.
## SrIn3Au (PBE)

Data for SrIn3Au after structural relaxation.

Unit cell a=6.2551 b=6.2551 c=6.2551 alpha=90.00 beta=90.00 gamma=90.00
Positions (direct):
Sr1 0.0000 0.0000 0.0000
Au1 0.5000 0.5000 0.5000
In1 0.0000 0.5000 0.0000
In2 0.0000 0.0000 0.5000
In3 0.5000 0.0000 0.0000

Values from the calculation:
VASP energy in eV per atom: -1.700
N(E_F) in states/eV per atom: 1.539
Total magnetization in μB per formula unit: 0.00
Energy of formation from the pure elements in eV per formula unit: 4.7
SG: Pm-3m, No. 221

---

7.
## Mn2CuIr (PBE)

Data for Mn2CuIr after structural relaxation.

Unit cell a=2.5992 b=2.5992 c=8.5533 alpha=90.00 beta=90.00 gamma=116.46
Positions (direct):
Cu1 0.0000 0.0000 0.4905
Ir1 0.5000 0.5000 0.7583
Mn1 0.0000 0.0000 0.0083
Mn2 0.5000 0.5000 0.2430

Values from the calculation:
VASP energy in eV per atom: -7.579
N(E_F) in states/eV per atom: 1.323
Total magnetization in μB per formula unit: 4.27
Energy of formation from the pure elements in eV per formula unit: 1.0
SG: Cmm2, No. 35

---

8.
## TaTlSCl2 (PBE)

Data for TaTlSCl2 after structural relaxation.

Unit cell a=5.2188 b=5.2188 c=5.2158 alpha=90.00 beta=90.00 gamma=90.00
Positions (direct):
Tl1 0.0000 0.0000 0.0000
Cl1 0.0000 0.5000 0.0000
Cl2 0.5000 0.0000 0.0000
S1 0.0000 0.0000 0.5000
Ta1 0.5000 0.5000 0.5000

Values from the calculation:
E_form (uncorrected) in meV per atom: 928
Distance to the lowest polymorph of the same formula in meV/atom: 1594.1
VASP energy in eV per atom: -3.480
N(E_F) in states/eV per atom: 1.369
Total magnetization in μB per formula unit: 3.41
SG: P4/mmm, No. 123